A relaxed CsInBr3 crystal, computed with PBEsol.

VASP energy in eV per atom: -3.11
ΔE_f (raw) in eV per atom: -1.202
Density of states at the Fermi level in states/eV per atom: 0.0000

a = 6.0416 Å, b = 7.9614 Å, c = 9.2112 Å
α = 105.71°, β = 97.43°, γ = 99.82°
With the nearest neighbours (Å) after each atom.
Element x y z (fractional)
Cs 0.1911 0.1772 0.3217  8 Br 3.59-3.71
Cs 0.8089 0.8228 0.6783  8 Br 3.59-3.71
In 0.3271 0.3969 0.8798  3 Br 2.58-2.61, 1 In 2.76
In 0.6729 0.6031 0.1202  3 Br 2.58-2.61, 1 In 2.76
Br 0.0380 0.7442 0.0411  1 In 2.58
Br 0.2452 0.5497 0.6692  1 In 2.59
Br 0.3710 0.0995 0.6911  1 In 2.61
Br 0.6290 0.9005 0.3089  1 In 2.61
Br 0.7548 0.4503 0.3308  1 In 2.59
Br 0.9620 0.2558 0.9589  1 In 2.58

---

A relaxed Cs2LiInBr6 crystal, computed with PBEsol.

VASP energy in eV per atom: -3.19
ΔE_f (raw) in eV per atom: -1.385
Density of states at the Fermi level in states/eV per atom: 0.0000

a = 7.6359 Å, b = 7.6359 Å, c = 7.6359 Å
α = 60.00°, β = 60.00°, γ = 60.00°
With the nearest neighbours (Å) after each atom.
Element x y z (fractional)
Cs 0.2500 0.2500 0.2500  12 Br 3.82
Cs 0.7500 0.7500 0.7500  12 Br 3.82
Li 0.0000 0.0000 0.0000  6 Br 2.72
In 0.5000 0.5000 0.5000  6 Br 2.68
Br 0.2520 0.2520 0.7480  1 In 2.68, 1 Li 2.72
Br 0.2520 0.7480 0.2520  1 In 2.68, 1 Li 2.72
Br 0.2520 0.7480 0.7480  1 In 2.68, 1 Li 2.72
Br 0.7480 0.2520 0.2520  1 In 2.68, 1 Li 2.72
Br 0.7480 0.2520 0.7480  1 In 2.68, 1 Li 2.72
Br 0.7480 0.7480 0.2520  1 In 2.68, 1 Li 2.72

---

A relaxed CsRb2InBr6 crystal, computed with PBEsol.

VASP energy in eV per atom: -3.04
ΔE_f (raw) in eV per atom: -1.319
Density of states at the Fermi level in states/eV per atom: 0.0000

a = 8.4065 Å, b = 8.4065 Å, c = 8.4065 Å
α = 60.00°, β = 60.00°, γ = 60.00°
With the nearest neighbours (Å) after each atom.
Element x y z (fractional)
Cs 0.0000 0.0000 0.0000  6 Br 3.28
Rb 0.2500 0.2500 0.2500  12 Br 4.21
Rb 0.7500 0.7500 0.7500  12 Br 4.21
In 0.5000 0.5000 0.5000  6 Br 2.66
Br 0.2761 0.2761 0.7239  1 In 2.66
Br 0.2761 0.7239 0.2761  1 In 2.66
Br 0.2761 0.7239 0.7239  1 In 2.66
Br 0.7239 0.2761 0.2761  1 In 2.66
Br 0.7239 0.2761 0.7239  1 In 2.66
Br 0.7239 0.7239 0.2761  1 In 2.66

---

A relaxed Cs2TlInBr6 crystal, computed with PBEsol.

VASP energy in eV per atom: -3.10
ΔE_f (raw) in eV per atom: -1.226
Density of states at the Fermi level in states/eV per atom: 0.0000

a = 8.1035 Å, b = 8.1035 Å, c = 8.1035 Å
α = 60.00°, β = 60.00°, γ = 60.00°
With the nearest neighbours (Å) after each atom.
Element x y z (fractional)
Cs 0.2500 0.2500 0.2500  12 Br 4.06
Cs 0.7500 0.7500 0.7500  12 Br 4.06
Tl 0.0000 0.0000 0.0000  6 Br 3.06
In 0.5000 0.5000 0.5000  6 Br 2.67
Br 0.2666 0.2666 0.7334  1 In 2.67
Br 0.2666 0.7334 0.2666  1 In 2.67
Br 0.2666 0.7334 0.7334  1 In 2.67
Br 0.7334 0.2666 0.2666  1 In 2.67
Br 0.7334 0.2666 0.7334  1 In 2.67
Br 0.7334 0.7334 0.2666  1 In 2.67

---

A relaxed Cs2YInBr6 crystal, computed with PBEsol.

VASP energy in eV per atom: -3.89
ΔE_f (raw) in eV per atom: -1.602
Density of states at the Fermi level in states/eV per atom: 0.0000

a = 8.2542 Å, b = 8.2542 Å, c = 8.2542 Å
α = 60.00°, β = 60.00°, γ = 60.00°
With the nearest neighbours (Å) after each atom.
Element x y z (fractional)
Cs 0.2500 0.2500 0.2500  12 Br 4.13
Cs 0.7500 0.7500 0.7500  12 Br 4.13
Y 0.0000 0.0000 0.0000  6 Br 2.76
In 0.5000 0.5000 0.5000  6 Br 3.08
Br 0.2362 0.2362 0.7638  1 Y 2.76, 1 In 3.08
Br 0.2362 0.7638 0.2362  1 Y 2.76, 1 In 3.08
Br 0.2362 0.7638 0.7638  1 Y 2.76, 1 In 3.08
Br 0.7638 0.2362 0.2362  1 Y 2.76, 1 In 3.08
Br 0.7638 0.2362 0.7638  1 Y 2.76, 1 In 3.08
Br 0.7638 0.7638 0.2362  1 Y 2.76, 1 In 3.08

---

A relaxed CsIrBr2 crystal, computed with PBEsol.

VASP energy in eV per atom: -3.73
ΔE_f (raw) in eV per atom: -0.105
E above lowest polymorph in eV/atom: 0.000
Density of states at the Fermi level in states/eV per atom: 0.3907

a = 8.4277 Å, b = 8.4277 Å, c = 8.4277 Å
α = 135.73°, β = 135.73°, γ = 64.39°
With the nearest neighbours (Å) after each atom.
Element x y z (fractional)
Cs 0.0000 0.0000 0.0000  4 Br 3.49
Cs 0.7500 0.2500 0.5000  4 Br 3.49
Ir 0.2500 0.7500 0.5000  4 Br 2.47
Ir 0.5000 0.5000 0.0000  4 Br 2.47
Br 0.2749 0.6250 0.1499  2 Ir 2.47
Br 0.3750 0.5249 0.6499  2 Ir 2.47
Br 0.4751 0.1250 0.8501  2 Ir 2.47
Br 0.8750 0.7251 0.3501  2 Ir 2.47

---

Calculated calculated volume (Å³ per cell), listed in the same order as above: 413, 315, 420, 376, 398, 288